[1]
First-principles (GGA-PBE) data for crystalline SrPrIr2O8 at its relaxed geometry, as listed in Alexandria.

Cell and atoms, written as CIF:
```
data_SrPrIr2O8
_chemical_formula_sum 'Sr1 Pr1 Ir2 O8'
_symmetry_space_group_name_H-M 'P -3'
_symmetry_Int_Tables_number 147
_cell_length_a 5.9795
_cell_length_b 5.9795
_cell_length_c 7.4248
_cell_angle_alpha 90.00
_cell_angle_beta 90.00
_cell_angle_gamma 120.00
loop_
_symmetry_equiv_pos_as_xyz
'x,y,z'
'-x,-y,-z'
'-y,x-y,z'
'y,-x+y,-z'
'-x+y,-x,z'
'x-y,x,-z'
loop_
_atom_site_label
_atom_site_fract_x
_atom_site_fract_y
_atom_site_fract_z
Sr1 0.0000 0.0000 0.0000
Pr1 0.0000 0.0000 0.5000
Ir1 0.3333 0.6667 0.8048
O1 0.1619 0.8361 0.7237
O2 0.3333 0.6667 0.0483
```

- D(E_F) (states/eV/cell) = 11.3
- energy (eV per atom) = -6.63

***

[2]
First-principles (GGA-PBE) data for crystalline PrTl2IrO6 at its relaxed geometry, as listed in Alexandria.

Cell and atoms, written as CIF:
```
data_PrTl2IrO6
_chemical_formula_sum 'Pr2 Tl4 Ir2 O12'
_symmetry_space_group_name_H-M 'P 1 21/c 1'
_symmetry_Int_Tables_number 14
_cell_length_a 5.951
_cell_length_b 5.976
_cell_length_c 10.295
_cell_angle_alpha 90.00
_cell_angle_beta 125.15
_cell_angle_gamma 90.00
loop_
_symmetry_equiv_pos_as_xyz
'x,y,z'
'-x,-y,-z'
'-x,y+1/2,-z+1/2'
'x,-y+1/2,z+1/2'
loop_
_atom_site_label
_atom_site_fract_x
_atom_site_fract_y
_atom_site_fract_z
Pr1 0.000 0.000 0.000
Tl1 0.257 0.026 0.748
Ir1 0.500 0.000 0.500
O1 0.188 0.024 0.278
O2 0.289 0.690 0.047
O3 0.367 0.236 0.049
```

- D(E_F) (states/eV/cell) = 11.5
- energy (eV per atom) = -6.14